Here is an optimized crystal structure of Sr4BeNi from Alexandria via LeMat-Bulk. Energies are from PBE.

Unit cell a=6.8587 b=6.8587 c=6.8587 alpha=60.00 beta=60.00 gamma=60.00
Closest atoms and distances in Å follow each position.
Fractional positions:
1 Sr 0.1252 0.1252 0.1252  6 Sr 3.42-3.44
2 Sr 0.1252 0.1252 0.6244  6 Sr 3.42-3.44
3 Sr 0.1252 0.6244 0.1252  6 Sr 3.42-3.44
4 Sr 0.6244 0.1252 0.1252  6 Sr 3.42-3.44
5 Be 0.7500 0.7500 0.7500  12 Sr 4.02, 4 Ni 4.20
6 Ni 0.5000 0.5000 0.5000  12 Sr 4.02, 4 Be 4.20

Calculated values
D(E_F) (states/eV/atom): 1.61
Formation energy (eV per atom): 1.177
Calculated volume (Å³ per atom): 38.0
Density (Mg/m³): 3.044
Space-group type: F-43m (216)